Entry 1:
The following is a DFT calculation (PBE) of an optimized crystal structure of BaAcZnBi.

abc: 8.2659 8.2659 8.2659
angles: 90.00 90.00 90.00
Last column: nearest neighbours and their distance in Å.
Space group F-43m (No. 216)
Asymmetric unit:
Ba 0.0000 0.0000 0.0000 (multiplicity 4)  4 Bi 3.58, 4 Zn 3.58
Ac 0.0000 0.0000 0.5000 (multiplicity 4)  4 Zn 3.58, 4 Bi 3.58
Zn 0.2500 0.2500 0.7500 (multiplicity 4)  4 Ba 3.58, 4 Ac 3.58
Bi 0.2500 0.2500 0.2500 (multiplicity 4)  4 Ba 3.58, 4 Ac 3.58

Calculated values
E_form, eV/f.u.: -1.8
Total moment, Bohr magnetons per cell: 0.00
Calculated volume, Å³/cell: 564.8
DOS(E_F), states/eV/f.u.: 4.3

Entry 2:
The following is a DFT calculation (PBE) of an optimized crystal structure of Rb2As2Au5.

abc: 13.8650 4.4211 9.5076
angles: 90.00 90.71 90.00
Last column: nearest neighbours and their distance in Å.
Space group C2/m (No. 12)
Asymmetric unit:
Rb 0.1124 0.0000 0.2865 (multiplicity 4)  7 Au 3.44-3.83, 1 As 3.64
As 0.1413 0.5000 0.8431 (multiplicity 4)  4 Au 2.48-2.54
Au 0.0000 0.5000 0.0000 (multiplicity 2)  2 As 2.48
Au 0.0618 0.5000 0.6059 (multiplicity 4)  1 As 2.50, 1 Au 2.63
Au 0.2092 0.0000 0.9301 (multiplicity 4)  2 As 2.54, 2 Au 2.81

Calculated values
E_form, eV/f.u.: -2.4
Total moment, Bohr magnetons per cell: 0.00
Calculated volume, Å³/cell: 582.8
DOS(E_F), states/eV/f.u.: 1.0

Entry 3:
The following is a DFT calculation (PBE) of an optimized crystal structure of Na2Zn2Sn3.

abc: 11.1494 4.3335 8.0471
angles: 90.00 115.08 90.00
Last column: nearest neighbours and their distance in Å.
Space group C2/m (No. 12)
Asymmetric unit:
Na 0.1515 0.0000 0.3048 (multiplicity 4)  4 Zn 3.20-3.43, 5 Sn 3.47-3.52
Zn 0.1440 0.0000 0.7264 (multiplicity 4)  5 Sn 2.79-2.91
Sn 0.0000 0.5000 0.5000 (multiplicity 2)  4 Zn 2.85
Sn 0.1216 0.5000 0.9527 (multiplicity 4)  3 Zn 2.79-2.91, 1 Sn 3.11

Calculated values
E_form, eV/f.u.: -0.5
Total moment, Bohr magnetons per cell: 0.00
Calculated volume, Å³/cell: 352.1
Energy relative to the lowest polymorph listed for this composition, meV per atom: 17
DOS(E_F), states/eV/f.u.: 2.6

Entry 4:
The following is a DFT calculation (PBE) of an optimized crystal structure of BaScAsO6.

abc: 5.3829 5.3829 5.6494
angles: 90.00 90.00 120.00
Last column: nearest neighbours and their distance in Å.
Space group P312 (No. 149)
Asymmetric unit:
Ba 0.0000 0.0000 0.0000 (multiplicity 1)  6 O 2.72
Sc 0.3333 0.6667 0.5000 (multiplicity 1)  6 O 2.12
As 0.6667 0.3333 0.5000 (multiplicity 1)  6 O 1.85
O 0.4008 0.0370 0.6866 (multiplicity 6)  1 As 1.85

Calculated values
Total moment, Bohr magnetons per cell: 2.03
Calculated volume, Å³/cell: 141.8
DOS(E_F), states/eV/f.u.: 5.3
DFT total energy, Ry/atom: -0.49074